Record 1
This record from the Alexandria database describes an optimized crystal structure of NaBiPd3. The functional is PBE.

Summary:
Formation energy from the elements = -0.211 eV per atom
SG = No. 11

Cell: 5.173 5.611 6.891 Å, 90.00 93.50 90.00°
Element x y z (fractional)
Na: 0.123 0.250 0.134
Na: 0.877 0.750 0.866
Bi: 0.137 0.750 0.358
Bi: 0.863 0.250 0.642
Pd: 0.346 0.000 0.672
Pd: 0.346 0.500 0.672
Pd: 0.402 0.750 0.024
Pd: 0.598 0.250 0.976
Pd: 0.654 0.000 0.328
Pd: 0.654 0.500 0.328


Record 2
This record from the Alexandria database describes an optimized crystal structure of Na2Bi5Pd3. The functional is PBE.

Summary:
Formation energy from the elements = -0.244 eV per atom
SG = No. 72

Cell: 9.487 9.487 9.487 Å, 104.33 91.40 136.73°
Element x y z (fractional)
Na: 0.167 0.227 0.394
Na: 0.333 0.727 0.061
Na: 0.667 0.273 0.939
Na: 0.833 0.773 0.606
Bi: 0.029 0.750 0.279
Bi: 0.071 0.673 0.743
Bi: 0.250 0.250 0.000
Bi: 0.429 0.173 0.602
Bi: 0.471 0.750 0.721
Bi: 0.529 0.250 0.279
Bi: 0.571 0.827 0.398
Bi: 0.750 0.750 0.000
Bi: 0.929 0.327 0.257
Bi: 0.971 0.250 0.721
Pd: 0.144 0.893 0.037
Pd: 0.250 0.750 0.500
Pd: 0.356 0.393 0.749
Pd: 0.644 0.607 0.251
Pd: 0.750 0.250 0.500
Pd: 0.856 0.107 0.963


Record 3
This record from the Alexandria database describes an optimized crystal structure of Na3Bi2Pd. The functional is PBE.

Summary:
Formation energy from the elements = -0.361 eV per atom
SG = No. 65

Cell: 8.856 8.856 3.562 Å, 90.00 90.00 144.97°
Element x y z (fractional)
Na: 0.000 0.000 0.000
Na: 0.186 0.814 0.500
Na: 0.814 0.186 0.500
Bi: 0.371 0.629 0.000
Bi: 0.629 0.371 0.000
Pd: 0.500 0.500 0.500


Record 4
This record from the Alexandria database describes an optimized crystal structure of Na3Bi2Pd4. The functional is PBE.

Summary:
Formation energy from the elements = -0.246 eV per atom
SG = No. 164

Cell: 4.801 4.801 8.988 Å, 90.00 90.00 120.00°
Element x y z (fractional)
Na: 0.000 0.000 0.000
Na: 0.333 0.667 0.437
Na: 0.667 0.333 0.563
Bi: 0.333 0.667 0.792
Bi: 0.667 0.333 0.208
Pd: 0.000 0.000 0.328
Pd: 0.000 0.000 0.672
Pd: 0.333 0.667 0.108
Pd: 0.667 0.333 0.892